## PaAu3O6 (GGA-PBE)

Data for a relaxed PaAu3O6 crystal.

Computed properties:
Total energy: -0.442 Ry/atom
Formation energy (no corrections): -1.100 eV/atom
Crystal system: monoclinic
Total magnetic moment: 0.00 μB/cell

abc: 11.5171 6.3352 4.7258
angles: 90.00 97.91 90.00
Closest atoms and distances in Å follow each position.
Space group C2/m (No. 12)
Inequivalent atoms, fractional coordinates:
Pa (0.0000, 0.0000, 0.0000) x2  6 O 2.19-2.28
Au (0.0000, 0.5000, 0.5000) x2  4 O 2.16
Au (0.2500, 0.2500, 0.0000) x4  4 O 2.08-2.11
O (0.0792, 0.2491, 0.7696) x8  2 Au 2.11-2.16, 1 Pa 2.19
O (0.1881, 0.0000, 0.2235) x4  2 Au 2.08, 1 Pa 2.28



## PuScPt2 (GGA-PBE)

Data for a relaxed PuScPt2 crystal.

Computed properties:
Formation enthalpy at 0 K: -0.984 eV per atom
Total energy: -0.674 Ry/atom
Crystal system: tetragonal
Total magnetic moment: 5.67 μB/cell

abc: 3.3206 3.3206 7.1399
angles: 90.00 90.00 90.00
Closest atoms and distances in Å follow each position.
Space group P4/mmm (No. 123)
Inequivalent atoms, fractional coordinates:
Pu (0.0000, 0.0000, 0.0000) x1  8 Pt 3.10, 4 Pu 3.32
Sc (0.0000, 0.0000, 0.5000) x1  8 Pt 2.81
Pt (0.5000, 0.5000, 0.2826) x2  4 Sc 2.81, 4 Pu 3.10, 1 Pt 3.10



## BeHg2Br (GGA-PBE)

Data for a relaxed BeHg2Br crystal.

Computed properties:
Energy above the lowest structure with this stoichiometry: 11.60 kcal/mol of atoms
Total energy: -0.078 Ry/atom
Formation energy (no corrections): 0.437 eV/atom
Crystal system: orthorhombic
Total magnetic moment: 0.00 μB/cell

abc: 5.3930 9.3244 4.1807
angles: 90.00 90.00 90.00
Closest atoms and distances in Å follow each position.
Space group Cmmm (No. 65)
Inequivalent atoms, fractional coordinates:
Be (0.0000, 0.0000, 0.0000) x2  2 Br 2.70
Hg (0.2500, 0.2500, 0.5000) x4  2 Hg 2.70
Br (0.0000, 0.5000, 0.0000) x2  2 Be 2.70



## Ba2ScMo (GGA-PBE)

Data for a relaxed Ba2ScMo crystal.

Computed properties:
Formation enthalpy at 0 K: 0.681 eV per atom
Energy above the lowest structure with this stoichiometry: 3.29 kcal/mol of atoms
Total energy: -0.336 Ry/atom
Crystal system: monoclinic
Total magnetic moment: 0.04 μB/cell

abc: 9.0976 3.5847 9.1266
angles: 90.00 95.84 90.00
Closest atoms and distances in Å follow each position.
Space group Cm (No. 8)
Inequivalent atoms, fractional coordinates:
Ba (0.0000, 0.0000, 0.0000) x2  3 Mo 3.46-3.63, 2 Sc 3.50, 2 Ba 3.58
Ba (0.2169, 0.0000, 0.5903) x2  3 Sc 3.44-3.69, 2 Mo 3.52, 2 Ba 3.58
Sc (0.4566, 0.0000, 0.3225) x2  3 Mo 2.55-2.80
Mo (0.2229, 0.5000, 0.2593) x2  3 Sc 2.55-2.80



## Nd6Sm5 (GGA-PBE)

Data for a relaxed Nd6Sm5 crystal.

Computed properties:
Formation enthalpy at 0 K: 0.132 eV per atom
Total energy: -0.339 Ry/atom
Crystal system: monoclinic
Total magnetic moment: 0.00 μB/cell

abc: 9.5042 13.3872 6.4322
angles: 90.00 109.01 90.00
Closest atoms and distances in Å follow each position.
Space group C2/m (No. 12)
Inequivalent atoms, fractional coordinates:
Nd (0.1739, 0.0000, 0.1748) x4  3 Nd 3.34-3.61, 5 Sm 3.56-3.63
Nd (0.1795, 0.1342, 0.6642) x8  4 Nd 3.38-3.76, 5 Sm 3.46-3.61
Sm (0.0000, 0.2404, 0.0000) x4  6 Nd 3.46-3.63, 3 Sm 3.47-3.67
Sm (0.0000, 0.3722, 0.5000) x4  5 Sm 3.42-3.67, 6 Nd 3.54-3.61
Sm (0.0000, 0.5000, 0.0000) x2  6 Sm 3.47-3.64, 6 Nd 3.59-3.63



## RuPt4Rh (GGA-PBE)

Data for a relaxed RuPt4Rh crystal.

Computed properties:
Formation enthalpy at 0 K: -0.009 eV per atom
Energy above the lowest structure with this stoichiometry: 0.00 kcal/mol of atoms
Total energy: -0.500 Ry/atom
Crystal system: tetragonal
Total magnetic moment: 0.62 μB/cell

abc: 2.7682 2.7682 11.8406
angles: 90.00 90.00 90.00
Closest atoms and distances in Å follow each position.
Space group P4/mmm (No. 123)
Inequivalent atoms, fractional coordinates:
Ru (0.0000, 0.0000, 0.0000) x1  8 Pt 2.72, 4 Ru 2.77
Pt (0.0000, 0.0000, 0.3352) x2  4 Rh 2.76, 8 Pt 2.77-2.85
Pt (0.5000, 0.5000, 0.1599) x2  4 Ru 2.72, 8 Pt 2.77-2.85
Rh (0.5000, 0.5000, 0.5000) x1  8 Pt 2.76, 4 Rh 2.77